Entry from the Alexandria database: crystalline TaV3 at its relaxed geometry (PBE-GGA).

Cell: 4.3711 4.3711 4.3711 Å, 60.00 60.00 60.00°
Last column: nearest neighbours and their distance in Å.
Element x y z (fractional)
V 0.7500 0.7500 0.7500  4 Ta 2.68, 4 V 2.68
Ta 0.5000 0.5000 0.5000  8 V 2.68
V 0.0000 0.0000 0.0000  8 V 2.68
V 0.2500 0.2500 0.2500  4 V 2.68, 4 Ta 2.68

Computed properties:
M_tot ... 0.00 μB per formula unit
Space-group type ... No. 225
Formation energy ... 0.0451 eV/atom
Energy above the most stable polymorph in this dataset ... 0.0 meV/atom
Energy ... -9.757 eV/atom
Volume ... 14.764 A^3/atom